The following is a GGA-PBEsol calculation of crystalline Be3Te2 at its relaxed geometry, from Alexandria.

Cell lengths 3.8018, 3.8018, 6.9574 Å; angles 90.00, 90.00, 120.00 degrees
Space group P-3m1 (No. 164)
Asymmetric unit:
Be  0.0000  0.0000  0.0000
Be  0.3333  0.6667  0.4351
Te  0.3333  0.6667  0.7820

Results
E_form (uncorrected), kJ/mol of atoms: 35.5
Spin magnetization, μB/atom: 0.000
E_tot, eV per atom: -3.443


The following is a GGA-PBEsol calculation of crystalline TeP3 at its relaxed geometry, from Alexandria.

Cell lengths 5.3015, 5.3015, 5.3015 Å; angles 90.00, 90.00, 90.00 degrees
Space group Im-3m (No. 229)
Asymmetric unit:
Te  0.0000  0.0000  0.0000
P  0.0000  0.0000  0.5000

Results
E_form (uncorrected), kJ/mol of atoms: 30.5
Spin magnetization, μB/atom: 0.000
E_tot, eV per atom: -4.909


The following is a GGA-PBEsol calculation of crystalline Li3Hg at its relaxed geometry, from Alexandria.

Cell lengths 3.4021, 3.4021, 6.1225 Å; angles 90.00, 90.00, 90.00 degrees
Space group P4/mmm (No. 123)
Asymmetric unit:
Li  0.0000  0.0000  0.0000
Li  0.5000  0.5000  0.2716
Hg  0.0000  0.0000  0.5000

Results
Spin magnetization, μB/atom: 0.000
Energy of formation from the pure elements, eV per atom: -0.25
ΔE to the lowest computed polymorph, meV per atom: 58
E_tot, eV per atom: -1.867


The following is a GGA-PBEsol calculation of crystalline SrTeSe2 at its relaxed geometry, from Alexandria.

Cell lengths 4.4259, 4.4259, 25.8180 Å; angles 90.00, 90.00, 120.00 degrees
Space group R-3m (No. 166, hexagonal axes)
Asymmetric unit:
Sr  0.0000  0.0000  0.0000
Te  0.0000  0.0000  0.5000
Se  0.0000  0.0000  0.1156

Results
E_form (uncorrected), kJ/mol of atoms: -19.7
Spin magnetization, μB/atom: 0.000
E_tot, eV per atom: -3.471


The following is a GGA-PBEsol calculation of crystalline Nd4CdNi at its relaxed geometry, from Alexandria.

Cell lengths 13.6662, 13.6662, 13.6662 Å; angles 90.00, 90.00, 90.00 degrees
Space group F-43m (No. 216)
Asymmetric unit:
Nd  0.0000  0.0000  0.1876
Nd  0.0580  0.2500  0.2500
Nd  0.0979  0.0979  0.5979
Cd  0.1708  0.1708  0.8292
Ni  0.1075  0.1075  0.3925

Results
Spin magnetization, μB/atom: 0.000
Energy of formation from the pure elements, eV per atom: -0.25
E_tot, eV per atom: -4.917


The following is a GGA-PBEsol calculation of crystalline CaZn2Ni at its relaxed geometry, from Alexandria.

Cell lengths 4.1217, 4.1217, 14.9928 Å; angles 90.00, 90.00, 120.00 degrees
Space group R-3m (No. 166, hexagonal axes)
Asymmetric unit:
Ca  0.0000  0.0000  0.0000
Zn  0.0000  0.0000  0.1993
Ni  0.0000  0.0000  0.5000

Results
Spin magnetization, μB/atom: 0.000
Energy of formation from the pure elements, eV per atom: -0.22
E_tot, eV per atom: -3.086


The following is a GGA-PBEsol calculation of crystalline BeSb2Rh at its relaxed geometry, from Alexandria.

Cell lengths 3.0981, 3.0981, 7.6960 Å; angles 90.00, 90.00, 90.00 degrees
Space group P4mm (No. 99)
Asymmetric unit:
Be  0.0000  0.0000  0.0000
Sb  0.0000  0.0000  0.3518
Sb  0.5000  0.5000  0.7637
Rh  0.5000  0.5000  0.1198

Results
E_form (uncorrected), kJ/mol of atoms: -15.9
Spin magnetization, μB/atom: 0.000
E_tot, eV per atom: -5.478


The following is a GGA-PBEsol calculation of crystalline Zr2NiSe at its relaxed geometry, from Alexandria.

Cell lengths 5.9286, 7.1595, 3.2001 Å; angles 90.00, 91.18, 90.00 degrees
Space group C2/m (No. 12)
Asymmetric unit:
Zr  0.2500  0.2500  0.0000
Ni  0.0000  0.0000  0.5000
Se  0.0000  0.5000  0.5000

Results
E_form (uncorrected), kJ/mol of atoms: -62.1
Spin magnetization, μB/atom: 0.000
E_tot, eV per atom: -7.690


The following is a GGA-PBEsol calculation of crystalline Ho2Te4O11 at its relaxed geometry, from Alexandria.

Cell lengths 12.2323, 5.0715, 15.9070 Å; angles 90.00, 106.36, 90.00 degrees
Space group C2/c (No. 15)
Asymmetric unit:
Ho  0.1191  0.2479  0.0366
Te  0.1234  0.2156  0.3714
Te  0.1257  0.2216  0.7015
O  0.0000  0.3640  0.7500
O  0.0235  0.0774  0.5960
O  0.0673  0.3934  0.4547
O  0.1527  0.4363  0.1696
O  0.2083  0.0461  0.9472
O  0.2481  0.0623  0.6297

Results
E_form (uncorrected), kJ/mol of atoms: -182.4
Spin magnetization, μB/atom: 0.000
E_tot, eV per atom: -6.699


The following is a GGA-PBEsol calculation of crystalline Na2LiP2 at its relaxed geometry, from Alexandria.

Cell lengths 6.6785, 6.6785, 4.3376 Å; angles 90.00, 90.00, 90.00 degrees
Space group P4/mbm (No. 127)
Asymmetric unit:
Na  0.1778  0.3222  0.0000
Li  0.0000  0.0000  0.5000
P  0.1145  0.6145  0.5000

Results
Spin magnetization, μB/atom: 0.000
Energy of formation from the pure elements, eV per atom: -0.38
ΔE to the lowest computed polymorph, meV per atom: 0
E_tot, eV per atom: -3.646


The following is a GGA-PBEsol calculation of crystalline Ag2Br3 at its relaxed geometry, from Alexandria.

Cell lengths 12.2021, 12.8269, 6.5388 Å; angles 90.00, 90.00, 90.00 degrees
Space group Fdd2 (No. 43)
Asymmetric unit:
Ag  0.1243  0.0533  0.0000
Br  0.0000  0.0000  0.6812
Br  0.0355  0.3207  0.6226

Results
E_form (uncorrected), kJ/mol of atoms: -19.5
Spin magnetization, μB/atom: 0.000
ΔE to the lowest computed polymorph, meV per atom: 28
E_tot, eV per atom: -2.649


The following is a GGA-PBEsol calculation of crystalline SrTe2Br at its relaxed geometry, from Alexandria.

Cell lengths 7.8283, 7.8283, 7.8283 Å; angles 90.00, 90.00, 90.00 degrees
Space group F-43m (No. 216)
Asymmetric unit:
Sr  0.0000  0.0000  0.0000
Te  0.0000  0.0000  0.5000
Te  0.2500  0.2500  0.2500
Br  0.2500  0.2500  0.7500

Results
E_form (uncorrected), kJ/mol of atoms: -68.5
Spin magnetization, μB/atom: 0.000
ΔE to the lowest computed polymorph, meV per atom: 452
E_tot, eV per atom: -3.401